Below is crystalline CaTl3Sb2Se6 at its relaxed geometry, with properties calculated at the PBE level.

Results
The space group is No. 12. As for the total DFT energy (no corrections): -45.516 eV for the cell shown. The value obtained for the formation energy from raw total energies is -0.6053 eV/atom. The crystal system is monoclinic. For the magnetization, the calculation gives 0.00 μB/cell. As for the volume: 28.87 Å³/atom.

POSCAR file:
```
CaTl3Sb2Se6
1.0
7.326 0.005 0.004
-3.657 6.348 0.004
-1.219 -2.111 7.444
Sb Se Tl Ca
2 6 3 1
Direct
0.667 0.333 0.000 Sb
0.333 0.667 0.000 Sb
0.926 0.584 0.782 Se
0.274 0.274 0.791 Se
0.074 0.416 0.218 Se
0.584 0.926 0.782 Se
0.416 0.074 0.218 Se
0.726 0.726 0.209 Se
0.500 0.500 0.500 Tl
0.839 0.161 0.500 Tl
0.161 0.839 0.500 Tl
0.000 0.000 0.000 Ca
```

Below is crystalline CaTl2SbSe4 at its relaxed geometry, with properties calculated at the PBE level.

Results
The space group is No. 74. As for the total DFT energy (no corrections): -60.973 eV for the cell shown. The value obtained for the formation energy from raw total energies is -0.7115 eV/atom. The crystal system is orthorhombic. For the magnetization, the calculation gives 0.00 μB/cell. As for the volume: 28.59 Å³/atom.

POSCAR file:
```
CaTl2SbSe4
1.0
-4.409 0.684 7.411
-1.977 -8.411 -0.409
8.289 2.552 -0.390
Se Ca Sb Tl
8 2 2 4
Direct
0.243 0.257 0.476 Se
0.219 0.748 0.984 Se
0.757 0.743 0.524 Se
0.243 0.257 0.024 Se
0.781 0.252 0.016 Se
0.752 0.281 0.516 Se
0.757 0.743 0.976 Se
0.248 0.719 0.484 Se
0.000 0.500 0.500 Ca
0.000 0.500 0.000 Ca
0.500 0.500 0.500 Sb
0.000 0.000 0.000 Sb
0.500 0.500 0.000 Tl
0.500 0.000 0.000 Tl
0.500 0.000 0.500 Tl
0.000 0.000 0.500 Tl
```

Below is crystalline CaSi4Sb at its relaxed geometry, with properties calculated at the PBE level.

Results
The space group is No. 216. As for the total DFT energy (no corrections): -27.045 eV for the cell shown. The value obtained for the formation energy from raw total energies is 0.1286 eV/atom. The crystal system is cubic. For the magnetization, the calculation gives 0.00 μB/cell. As for the volume: 18.52 Å³/atom.

POSCAR file:
```
CaSi4Sb
1.0
-0.377 0.183 5.380
-4.377 -1.969 2.466
0.345 -4.547 2.885
Si Sb Ca
4 1 1
Direct
0.373 0.880 0.373 Si
0.880 0.373 0.373 Si
0.373 0.373 0.880 Si
0.373 0.373 0.373 Si
0.000 0.000 0.000 Sb
0.750 0.750 0.750 Ca
```

Below is crystalline Ca3SiSb at its relaxed geometry, with properties calculated at the PBE level.

Results
The space group is No. 221. As for the total DFT energy (no corrections): -17.596 eV for the cell shown. The value obtained for the formation energy from raw total energies is -0.4092 eV/atom. The crystal system is cubic. For the magnetization, the calculation gives 0.00 μB/cell. As for the volume: 33.64 Å³/atom.

POSCAR file:
```
Ca3SiSb
1.0
5.520 0.000 0.000
0.000 5.520 0.000
0.000 0.000 5.520
Ca Sb Si
3 1 1
Direct
0.000 0.500 0.000 Ca
0.000 0.000 0.500 Ca
0.500 0.000 0.000 Ca
0.500 0.500 0.500 Sb
0.000 0.000 0.000 Si
```